TbEr7Tm4 | PBE | relaxed

abc: 5.766 11.382 6.613
angles: 83.42 64.15 75.33
Sites, in units of the cell vectors:
Tm 0.249 0.316 0.186
Tm 0.751 0.684 0.814
Tm 0.366 0.774 0.495
Tm 0.634 0.226 0.505
Er 0.788 0.924 0.500
Er 0.635 0.497 0.232
Er 0.060 0.676 0.205
Er 0.940 0.324 0.795
Er 0.500 0.000 0.000
Er 0.365 0.503 0.768
Er 0.212 0.076 0.500
Tb 0.000 0.000 0.000

Computed properties:
- volume (Å³ per cell) = 377.8
- formation enthalpy at 0 K (meV/atom) = 302.5
- size of the total moment (μB per formula unit) = 0.00
- VASP energy (eV for the cell shown) = -50.826